# 1
Entry from the Alexandria database: an optimized crystal structure of Na2Tl3TeO6 (GGA-PBE).

Output
**DFT total energy**: -54.946 eV per formula unit

Lattice parameters (Å, degrees): 6.1579 6.1579 6.0753 95.76 95.76 119.81
Closest atoms and distances in Å follow each position.
Positions (direct):
Tl1 0.8294 0.1706 0.5000  4 O 2.54-2.57
Tl2 0.5000 0.5000 0.5000  6 O 2.74-2.87
Tl3 0.1706 0.8294 0.5000  4 O 2.54-2.57
Te1 0.0000 0.0000 0.0000  6 O 1.96-2.02
O1 0.1871 0.1871 0.7617  1 Te 2.02
O2 0.8129 0.8129 0.2383  1 Te 2.02
O3 0.0569 0.3191 0.1661  1 Te 1.96
O4 0.3191 0.0569 0.1661  1 Te 1.96
O5 0.9431 0.6809 0.8339  1 Te 1.96
O6 0.6809 0.9431 0.8339  1 Te 1.96
Na1 0.3241 0.6759 0.0000  4 O 2.39-2.48
Na2 0.6759 0.3241 0.0000  4 O 2.39-2.48

=====

# 2
Entry from the Alexandria database: an optimized crystal structure of NaTlTe2O8 (GGA-PBE).

Output
**DFT total energy**: -59.374 eV per formula unit

Lattice parameters (Å, degrees): 6.2766 6.2766 6.2766 105.97 105.97 116.72
Closest atoms and distances in Å follow each position.
Positions (direct):
O1 0.8672 0.6787 0.1885  1 Te 1.85
O2 0.4902 0.6787 0.8115  1 Te 1.85
O3 0.3213 0.1328 0.8115  1 Te 1.85
O4 0.9385 0.2565 0.3179  1 Te 1.85
O5 0.3213 0.5098 0.1885  1 Te 1.85
O6 0.7435 0.0615 0.6821  1 Te 1.85
O7 0.9385 0.6206 0.6821  1 Te 1.85
O8 0.3794 0.0615 0.3179  1 Te 1.85
Na1 0.0000 0.0000 0.0000  8 O 2.44-2.55
Te1 0.7500 0.2500 0.5000  4 O 1.85
Te2 0.5000 0.5000 0.0000  4 O 1.85
Tl1 0.2500 0.7500 0.5000  8 O 2.40-2.47

=====

# 3
Entry from the Alexandria database: an optimized crystal structure of NaTlTe2O6 (GGA-PBE).

Output
**DFT total energy**: -49.495 eV per formula unit

Lattice parameters (Å, degrees): 7.5899 8.0743 8.0743 72.01 65.73 65.73
Closest atoms and distances in Å follow each position.
Positions (direct):
Tl1 0.2500 0.8532 0.1468  4 O 2.71-2.82
Tl2 0.7500 0.1468 0.8532  4 O 2.71-2.82
O1 0.3235 0.2340 0.0224  1 Te 1.85
O2 0.6765 0.7660 0.9776  1 Te 1.85
O3 0.3930 0.3244 0.3282  2 Te 2.02-2.05
O4 0.8235 0.0224 0.2340  1 Te 1.85
O5 0.6042 0.1400 0.6015  1 Te 1.85
O6 0.8958 0.3985 0.8600  1 Te 1.85
O7 0.3958 0.8600 0.3985  1 Te 1.85
O8 0.1042 0.6015 0.1400  1 Te 1.85
O9 0.6070 0.6756 0.6718  2 Te 2.02-2.05
O10 0.1070 0.6718 0.6756  2 Te 2.02-2.05
O11 0.8930 0.3282 0.3244  2 Te 2.02-2.05
O12 0.1765 0.9776 0.7660  1 Te 1.85
Na1 0.7500 0.7662 0.2338  4 O 2.35-2.36
Na2 0.2500 0.2338 0.7662  4 O 2.35-2.36
Te1 0.6792 0.2262 0.3505  4 O 1.85-2.05
Te2 0.8208 0.6495 0.7738  4 O 1.85-2.05
Te3 0.1792 0.3505 0.2262  4 O 1.85-2.05
Te4 0.3208 0.7738 0.6495  4 O 1.85-2.05

=====

# 4
Entry from the Alexandria database: an optimized crystal structure of NaTl2Te2O6 (GGA-PBE).

Output
**DFT total energy**: -52.831 eV per formula unit

Lattice parameters (Å, degrees): 5.9166 6.6688 9.2773 130.85 90.00 116.33
Closest atoms and distances in Å follow each position.
Positions (direct):
O1 0.2373 0.4747 0.5953  1 Te 1.86
O2 0.7627 0.5253 0.4047  1 Te 1.86
O3 0.3122 0.1557 0.7633  1 Te 1.92
O4 0.1565 0.8443 0.2367  1 Te 1.92
O5 0.6878 0.8443 0.2367  1 Te 1.92
O6 0.8435 0.1557 0.7633  1 Te 1.92
Te1 0.9357 0.8715 0.6977  3 O 1.86-1.92
Te2 0.0643 0.1285 0.3023  3 O 1.86-1.92
Tl1 0.3365 0.6731 0.9491  5 O 2.55-2.58
Tl2 0.6635 0.3269 0.0509  5 O 2.55-2.58
Na1 0.5000 0.0000 0.5000  4 O 2.45

=====

# 5
Entry from the Alexandria database: an optimized crystal structure of Na3Tl3TeO8 (GGA-PBE).

Output
**DFT total energy**: -69.902 eV per formula unit

Lattice parameters (Å, degrees): 7.0823 6.9974 6.8857 120.49 90.00 120.40
Closest atoms and distances in Å follow each position.
Positions (direct):
O1 0.1945 0.9992 0.7053  1 Te 1.98
O2 0.7538 0.5075 0.7023  2 Tl 2.24, 1 Na 2.42
O3 0.8055 0.0008 0.2947  1 Te 1.98
O4 0.1953 0.0008 0.2947  1 Te 1.98
O5 0.7939 0.5878 0.2882  1 Te 2.01
O6 0.8047 0.9992 0.7053  1 Te 1.98
O7 0.2061 0.4122 0.7118  1 Te 2.01
O8 0.2462 0.4925 0.2977  2 Tl 2.24, 1 Na 2.42
Na1 0.0000 0.0000 0.0000  6 O 2.42-2.45
Na2 0.5000 0.5000 0.0000  6 O 2.47-2.73
Na3 0.0000 0.5000 0.0000  6 O 2.47-2.73
Tl1 0.0000 0.5000 0.5000  4 O 2.24-2.49
Tl2 0.5000 0.0000 0.5000  6 O 2.51-2.58
Tl3 0.5000 0.5000 0.5000  4 O 2.24-2.49
Te1 0.0000 0.0000 0.5000  6 O 1.98-2.01

=====

# 6
Entry from the Alexandria database: an optimized crystal structure of NaTl2TeO (GGA-PBE).

Output
**DFT total energy**: -17.086 eV per formula unit

Lattice parameters (Å, degrees): 5.1692 5.1692 4.6734 90.00 90.00 90.00
Closest atoms and distances in Å follow each position.
Positions (direct):
Na1 0.0000 0.0000 0.5000  2 O 2.34
O1 0.0000 0.0000 0.0000  2 Na 2.34, 4 Tl 2.58
Te1 0.5000 0.5000 0.5000  8 Tl 3.48, 4 Na 3.66
Tl1 0.0000 0.5000 0.0000  2 O 2.58
Tl2 0.5000 0.0000 0.0000  2 O 2.58

=====

Number 1: uncorrected formation energy -1.027 eV/atom. Number 2: uncorrected formation energy -0.812 eV/atom. Number 3: uncorrected formation energy -0.978 eV/atom. Number 4: uncorrected formation energy -0.977 eV/atom. Number 5: uncorrected formation energy -1.069 eV/atom. Number 6: uncorrected formation energy -0.587 eV/atom.